A plane-wave DFT calculation with PBE was carried out for a relaxed structure of Cs2GaBBr6.

Output
Energy relative to the elements, uncorrected (eV per atom): -0.744
Spin magnetization (μB/cell): 0.00
Space-group type: I4/mmm, No. 139
Crystal system: tetragonal

Cell and atoms, written as extended XYZ:
```
10
Lattice="7.550 0.000 0.000 0.000 7.550 0.000 3.775 3.775 5.675" Properties=species:S:1:pos:R:3 pbc="T T T"
Cs 7.550 3.775 2.837
Cs 3.775 7.550 2.837
B 3.775 3.775 0.000
Ga 0.000 0.000 0.000
Br 3.775 3.775 2.792
Br 7.550 7.550 2.883
Br 2.184 2.184 0.000
Br 5.366 5.366 0.000
Br 5.366 2.184 0.000
Br 2.184 5.366 0.000
```